# NaSnTeMo2 (GGA-PBEsol, optimized geometry)
# electronic total energy: -4.992 eV per atom
# energy relative to the elements, uncorrected: 1.55 eV/atom
data_NaSnTeMo2
_cell_length_a 5.046
_cell_length_b 5.046
_cell_length_c 5.795
_cell_angle_alpha 90.00
_cell_angle_beta 90.00
_cell_angle_gamma 90.00
_space_group_name_H-M_alt 'P 4/m m m'
_space_group_IT_number 123
_space_group_name_Hall '-P 4 2'
loop_
_atom_site_label
_atom_site_fract_x
_atom_site_fract_y
_atom_site_fract_z
Na1 0.000 0.000 0.000
Sn1 0.500 0.500 0.000
Te1 0.500 0.500 0.500
Mo1 0.000 0.500 0.500



# NaSr3Mo (GGA-PBEsol, optimized geometry)
# calculated formation energy: 0.76 eV/atom
# electronic total energy: -2.981 eV per atom
data_NaSr3Mo
_cell_length_a 5.820
_cell_length_b 5.820
_cell_length_c 5.820
_cell_angle_alpha 90.00
_cell_angle_beta 90.00
_cell_angle_gamma 90.00
_space_group_name_H-M_alt 'P m -3 m'
_space_group_IT_number 221
_space_group_name_Hall '-P 4 2 3'
loop_
_atom_site_label
_atom_site_fract_x
_atom_site_fract_y
_atom_site_fract_z
Na1 0.000 0.000 0.000
Sr1 0.000 0.500 0.500
Mo1 0.500 0.500 0.500



# NaSrMo2 (GGA-PBEsol, optimized geometry)
# calculated formation energy: 1.96 eV/atom
# electronic total energy: -4.731 eV per atom
data_NaSrMo2
_cell_length_a 7.169
_cell_length_b 7.169
_cell_length_c 7.169
_cell_angle_alpha 90.00
_cell_angle_beta 90.00
_cell_angle_gamma 90.00
_space_group_name_H-M_alt 'F m -3 m'
_space_group_IT_number 225
_space_group_name_Hall '-F 4 2 3'
loop_
_atom_site_label
_atom_site_fract_x
_atom_site_fract_y
_atom_site_fract_z
Na1 0.000 0.000 0.000
Sr1 0.000 0.000 0.500
Mo1 0.250 0.250 0.250



# NaSr2Mo (GGA-PBEsol, optimized geometry)
# calculated formation energy: 0.89 eV/atom
# electronic total energy: -3.319 eV per atom
data_NaSr2Mo
_cell_length_a 8.022
_cell_length_b 8.022
_cell_length_c 8.022
_cell_angle_alpha 90.00
_cell_angle_beta 90.00
_cell_angle_gamma 90.00
_space_group_name_H-M_alt 'F m -3 m'
_space_group_IT_number 225
_space_group_name_Hall '-F 4 2 3'
loop_
_atom_site_label
_atom_site_fract_x
_atom_site_fract_y
_atom_site_fract_z
Na1 0.000 0.000 0.000
Sr1 0.250 0.250 0.250
Mo1 0.000 0.000 0.500



# NaSrMo3 (GGA-PBEsol, optimized geometry)
# calculated formation energy: 2.65 eV/atom
# electronic total energy: -5.057 eV per atom
data_NaSrMo3
_cell_length_a 4.767
_cell_length_b 4.767
_cell_length_c 4.767
_cell_angle_alpha 90.00
_cell_angle_beta 90.00
_cell_angle_gamma 90.00
_space_group_name_H-M_alt 'P m -3 m'
_space_group_IT_number 221
_space_group_name_Hall '-P 4 2 3'
loop_
_atom_site_label
_atom_site_fract_x
_atom_site_fract_y
_atom_site_fract_z
Na1 0.000 0.000 0.000
Sr1 0.500 0.500 0.500
Mo1 0.000 0.000 0.500



# NaTe3Mo3 (GGA-PBEsol, optimized geometry)
# electronic total energy: -7.158 eV per atom
# energy relative to the elements, uncorrected: -0.40 eV/atom
data_NaTe3Mo3
_cell_length_a 9.1634
_cell_length_b 9.1634
_cell_length_c 4.5661
_cell_angle_alpha 90.00
_cell_angle_beta 90.00
_cell_angle_gamma 120.00
_space_group_name_H-M_alt 'P 63/m'
_space_group_IT_number 176
_space_group_name_Hall '-P 6c'
loop_
_atom_site_label
_atom_site_fract_x
_atom_site_fract_y
_atom_site_fract_z
Na1 0.3333 0.6667 0.2500
Te1 0.0848 0.3873 0.7500
Mo1 0.0418 0.1830 0.2500



# NaTl3Mo (GGA-PBEsol, optimized geometry)
# calculated formation energy: 0.44 eV/atom
# electronic total energy: -3.772 eV per atom
data_NaTl3Mo
_cell_length_a 5.319
_cell_length_b 5.319
_cell_length_c 5.319
_cell_angle_alpha 90.00
_cell_angle_beta 90.00
_cell_angle_gamma 90.00
_space_group_name_H-M_alt 'P m -3 m'
_space_group_IT_number 221
_space_group_name_Hall '-P 4 2 3'
loop_
_atom_site_label
_atom_site_fract_x
_atom_site_fract_y
_atom_site_fract_z
Na1 0.000 0.000 0.000
Tl1 0.000 0.500 0.500
Mo1 0.500 0.500 0.500



# NaZrMo2 (GGA-PBEsol, optimized geometry)
# calculated formation energy: 1.09 eV/atom
# electronic total energy: -7.412 eV per atom
data_NaZrMo2
_cell_length_a 6.570
_cell_length_b 6.570
_cell_length_c 6.570
_cell_angle_alpha 90.00
_cell_angle_beta 90.00
_cell_angle_gamma 90.00
_space_group_name_H-M_alt 'F m -3 m'
_space_group_IT_number 225
_space_group_name_Hall '-F 4 2 3'
loop_
_atom_site_label
_atom_site_fract_x
_atom_site_fract_y
_atom_site_fract_z
Na1 0.000 0.000 0.000
Zr1 0.000 0.000 0.500
Mo1 0.250 0.250 0.250



# Na3ZrMo (GGA-PBEsol, optimized geometry)
# calculated formation energy: 2.31 eV/atom
# electronic total energy: -2.701 eV per atom
data_Na3ZrMo
_cell_length_a 5.893
_cell_length_b 5.893
_cell_length_c 5.893
_cell_angle_alpha 90.00
_cell_angle_beta 90.00
_cell_angle_gamma 90.00
_space_group_name_H-M_alt 'P m -3 m'
_space_group_IT_number 221
_space_group_name_Hall '-P 4 2 3'
loop_
_atom_site_label
_atom_site_fract_x
_atom_site_fract_y
_atom_site_fract_z
Na1 0.000 0.000 0.500
Zr1 0.000 0.000 0.000
Mo1 0.500 0.500 0.500



# NbNi6Mo (GGA-PBEsol, optimized geometry)
# calculated formation energy: -0.22 eV/atom
# electronic total energy: -7.660 eV per atom
data_NbNi6Mo
_cell_length_a 4.190
_cell_length_b 5.011
_cell_length_c 4.449
_cell_angle_alpha 90.00
_cell_angle_beta 90.00
_cell_angle_gamma 90.00
_space_group_name_H-M_alt 'P m m 2'
_space_group_IT_number 25
loop_
_space_group_symop_operation_xyz
'x,y,z'
'-x,-y,z'
'-x,y,z'
'x,-y,z'
loop_
_atom_site_label
_atom_site_fract_x
_atom_site_fract_y
_atom_site_fract_z
Nb1 0.000 0.000 0.000
Ni1 0.000 0.256 0.507
Ni2 0.000 0.500 0.013
Ni3 0.500 0.000 0.664
Ni4 0.500 0.255 0.188
Mo1 0.500 0.500 0.693



# NbMoOs2 (GGA-PBEsol, optimized geometry)
# calculated formation energy: 0.20 eV/atom
# electronic total energy: -11.559 eV per atom
data_NbMoOs2
_cell_length_a 6.257
_cell_length_b 6.257
_cell_length_c 6.257
_cell_angle_alpha 90.00
_cell_angle_beta 90.00
_cell_angle_gamma 90.00
_space_group_name_H-M_alt 'F m -3 m'
_space_group_IT_number 225
_space_group_name_Hall '-F 4 2 3'
loop_
_atom_site_label
_atom_site_fract_x
_atom_site_fract_y
_atom_site_fract_z
Nb1 0.000 0.000 0.000
Mo1 0.000 0.000 0.500
Os1 0.250 0.250 0.250



# Nb2MoOs (GGA-PBEsol, optimized geometry)
# calculated formation energy: -0.23 eV/atom
# electronic total energy: -11.640 eV per atom
data_Nb2MoOs
_cell_length_a 6.354
_cell_length_b 6.354
_cell_length_c 6.354
_cell_angle_alpha 90.00
_cell_angle_beta 90.00
_cell_angle_gamma 90.00
_space_group_name_H-M_alt 'F m -3 m'
_space_group_IT_number 225
_space_group_name_Hall '-F 4 2 3'
loop_
_atom_site_label
_atom_site_fract_x
_atom_site_fract_y
_atom_site_fract_z
Nb1 0.250 0.250 0.250
Mo1 0.000 0.000 0.000
Os1 0.000 0.000 0.500